Entry a
# KPt2Cl

A relaxed KPt2Cl crystal (PBE, the Alexandria database).

Structure (extended XYZ):
```
4
Lattice="-2.430 2.430 3.430 2.430 -2.430 3.430 2.430 2.430 -3.430" Properties=species:S:1:pos:R:3 pbc="T T T"
K 0.000 0.000 0.000
Pt 2.430 0.000 1.715
Pt 0.000 0.000 3.430
Cl 0.000 2.430 1.715
```

Computed properties:
- Symmetry: No. 119
- Total magnetic moment: 0.61 μB per formula unit

---

Entry b
# KPt2Cl

A relaxed KPt2Cl crystal (PBE, the Alexandria database).

Structure (extended XYZ):
```
4
Lattice="2.809 0.000 0.000 0.000 4.307 0.000 0.000 0.000 8.274" Properties=species:S:1:pos:R:3 pbc="T T T"
K 0.000 0.000 0.000
Pt 0.000 0.000 3.273
Pt 1.404 2.154 2.758
Cl 1.404 2.154 6.690
```

Computed properties:
- Symmetry: No. 25
- Total magnetic moment: 0.14 μB per formula unit

---

Here is how they stack up, most stable first: entry b, entry a.

---

Entry a
# KPt2Cl

A relaxed KPt2Cl crystal (PBE, the Alexandria database).

Structure (extended XYZ):
```
4
Lattice="2.745 -7.076 0.000 2.745 7.076 0.000 -1.397 0.000 2.390" Properties=species:S:1:pos:R:3 pbc="T T T"
K 0.000 0.000 0.000
Pt 1.373 3.538 0.000
Pt 1.373 -3.538 0.000
Cl 2.745 0.000 0.000
```

Computed properties:
- Symmetry: No. 12
- Total magnetic moment: 0.11 μB per formula unit

---

Entry b
# KPt2Cl

A relaxed KPt2Cl crystal (PBE, the Alexandria database).

Structure (extended XYZ):
```
4
Lattice="3.511 0.000 0.000 0.000 3.511 0.000 0.000 0.000 7.609" Properties=species:S:1:pos:R:3 pbc="T T T"
K 0.000 0.000 0.000
Pt 0.000 0.000 3.513
Pt 1.755 1.755 2.783
Cl 1.755 1.755 5.950
```

Computed properties:
- Symmetry: No. 99
- Total magnetic moment: 0.00 μB per formula unit

---

Here is how they stack up, most stable first: entry b, entry a.

---

Entry a
# KPt2Cl

A relaxed KPt2Cl crystal (PBE, the Alexandria database).

Structure (extended XYZ):
```
4
Lattice="2.689 0.000 0.000 0.000 5.341 0.000 0.000 0.000 6.382" Properties=species:S:1:pos:R:3 pbc="T T T"
K 0.000 0.000 0.000
Pt 1.344 1.326 3.191
Pt 1.344 4.016 3.191
Cl 0.000 2.671 0.000
```

Computed properties:
- Symmetry: No. 47
- Total magnetic moment: 0.11 μB per formula unit

---

Entry b
# KPt2Cl

A relaxed KPt2Cl crystal (PBE, the Alexandria database).

Structure (extended XYZ):
```
4
Lattice="-1.906 1.906 6.899 1.906 -1.906 6.899 1.906 1.906 -6.899" Properties=species:S:1:pos:R:3 pbc="T T T"
K 0.000 0.000 0.000
Pt 1.906 0.000 3.450
Pt 0.000 1.906 3.450
Cl 0.000 0.000 6.899
```

Computed properties:
- Symmetry: No. 139
- Total magnetic moment: 1.15 μB per formula unit

---

Entry c
# KPt2Cl

A relaxed KPt2Cl crystal (PBE, the Alexandria database).

Structure (extended XYZ):
```
4
Lattice="2.912 0.000 0.000 0.000 2.912 0.000 0.000 0.000 9.239" Properties=species:S:1:pos:R:3 pbc="T T T"
K 0.000 0.000 0.000
Pt 1.456 1.456 2.635
Pt 1.456 1.456 6.604
Cl 0.000 0.000 4.619
```

Computed properties:
- Symmetry: No. 123
- Total magnetic moment: 0.00 μB per formula unit

---

Here is how they stack up, most stable first: entry b, entry a, entry c.

---

Entry a
# KPt2Cl

A relaxed KPt2Cl crystal (PBE, the Alexandria database).

Structure (extended XYZ):
```
4
Lattice="0.000 3.455 3.455 3.455 0.000 3.455 3.455 3.455 0.000" Properties=species:S:1:pos:R:3 pbc="T T T"
K 0.000 0.000 0.000
Pt 1.728 1.728 1.728
Pt 5.183 5.183 5.183
Cl 3.455 3.455 3.455
```

Computed properties:
- Symmetry: No. 225
- Total magnetic moment: 0.50 μB per formula unit

---

Entry b
# KPt2Cl

A relaxed KPt2Cl crystal (PBE, the Alexandria database).

Structure (extended XYZ):
```
4
Lattice="4.511 -1.413 0.000 4.511 1.413 0.000 -2.288 0.000 7.987" Properties=species:S:1:pos:R:3 pbc="T T T"
K 0.000 0.000 0.000
Pt 4.139 0.000 3.165
Pt 6.550 0.000 2.622
Cl 0.157 0.000 6.328
```

Computed properties:
- Symmetry: No. 8
- Total magnetic moment: 0.10 μB per formula unit

---

Entry c
# KPt2Cl

A relaxed KPt2Cl crystal (PBE, the Alexandria database).

Structure (extended XYZ):
```
4
Lattice="1.482 0.856 9.944 -1.482 0.856 9.944 0.000 -1.712 9.944" Properties=species:S:1:pos:R:3 pbc="T T T"
K 0.000 0.000 0.000
Pt 0.000 0.000 7.177
Pt 0.000 0.000 22.656
Cl 0.000 0.000 14.917
```

Computed properties:
- Symmetry: No. 166
- Total magnetic moment: 0.57 μB per formula unit

---

Here is how they stack up, most stable first: entry b, entry c, entry a.

---

Entry a
# KPt2Cl8

A relaxed KPt2Cl8 crystal (PBE, the Alexandria database).

Structure (extended XYZ):
```
11
Lattice="5.846 -3.542 0.000 5.846 3.542 0.000 -4.889 0.000 7.704" Properties=species:S:1:pos:R:3 pbc="T T T"
K 0.000 0.000 0.000
Pt -1.364 0.000 4.802
Pt 8.167 0.000 2.902
Cl 3.569 1.972 1.817
Cl 0.375 0.000 3.351
Cl 3.234 1.972 5.888
Cl 0.313 0.000 6.512
Cl 6.490 0.000 1.192
Cl 3.569 -1.972 1.817
Cl 6.428 0.000 4.353
Cl 3.234 -1.972 5.888
```

Computed properties:
- Symmetry: No. 12
- Total magnetic moment: 0.00 μB per formula unit

---

Entry b
# KPt2Cl8

A relaxed KPt2Cl8 crystal (PBE, the Alexandria database).

Structure (extended XYZ):
```
11
Lattice="5.352 0.000 0.000 1.344 7.608 0.000 1.385 0.009 7.638" Properties=species:S:1:pos:R:3 pbc="T T T"
K 0.000 0.000 0.000
Pt 2.640 2.923 2.932
Pt 5.442 4.695 4.706
Cl 2.751 4.592 4.604
Cl 2.608 1.310 4.569
Cl 2.607 4.564 1.323
Cl 2.603 1.287 1.294
Cl 5.478 6.331 6.344
Cl 5.474 3.054 6.315
Cl 5.474 6.308 3.069
Cl 5.330 3.026 3.034
```

Computed properties:
- Symmetry: No. 2
- Total magnetic moment: 0.00 μB per formula unit

---

Here is how they stack up, most stable first: entry b, entry a.

---

Entry a
# KPuCl4

A relaxed KPuCl4 crystal (PBE, the Alexandria database).

Structure (extended XYZ):
```
12
Lattice="4.723 -6.764 0.000 4.723 6.764 0.000 -3.767 0.000 5.776" Properties=species:S:1:pos:R:3 pbc="T T T"
K 1.898 4.890 4.332
K 3.781 -4.890 1.444
Pu 3.781 0.259 1.444
Pu 1.898 -0.259 4.332
Cl -0.808 0.769 4.572
Cl 2.101 2.145 2.549
Cl 1.075 -0.769 1.684
Cl 5.462 2.145 0.339
Cl 0.217 -2.145 5.437
Cl 4.604 0.769 4.092
Cl 3.578 -2.145 3.227
Cl 6.487 -0.769 1.204
```

Computed properties:
- Symmetry: No. 15
- Total magnetic moment: 5.00 μB per formula unit

---

Entry b
# KPuCl4

A relaxed KPuCl4 crystal (PBE, the Alexandria database).

Structure (extended XYZ):
```
24
Lattice="7.389 0.000 0.000 0.000 10.077 0.000 0.000 0.000 10.422" Properties=species:S:1:pos:R:3 pbc="T T T"
K 0.065 1.716 2.606
K 0.065 3.322 7.817
K 7.324 6.754 2.606
K 7.324 8.361 7.817
Pu 3.695 0.000 0.000
Pu 3.695 0.000 5.211
Pu 3.695 5.038 0.000
Pu 3.695 5.038 5.211
Cl 1.344 5.906 6.036
Cl 1.344 5.906 9.598
Cl 1.344 9.208 0.825
Cl 1.344 9.208 4.386
Cl 2.521 2.519 0.000
Cl 2.521 2.519 5.211
Cl 2.840 5.368 2.606
Cl 2.840 9.747 7.817
Cl 4.550 0.330 2.606
Cl 4.550 4.709 7.817
Cl 4.868 7.557 0.000
Cl 4.868 7.557 5.211
Cl 6.046 0.868 6.036
Cl 6.046 0.868 9.598
Cl 6.046 4.170 0.825
Cl 6.046 4.170 4.386
```

Computed properties:
- Symmetry: No. 57
- Total magnetic moment: 5.00 μB per formula unit

---

Here is how they stack up, most stable first: entry b, entry a.

---

Entry a
# KRbCl

A relaxed KRbCl crystal (PBE, the Alexandria database).

Structure (extended XYZ):
```
3
Lattice="4.650 0.000 0.000 -2.325 4.027 0.000 0.000 0.000 8.051" Properties=species:S:1:pos:R:3 pbc="T T T"
K 0.000 0.000 0.000
Rb 2.325 1.342 4.215
Cl 0.000 2.685 6.258
```

Computed properties:
- Symmetry: No. 156
- Total magnetic moment: 0.00 μB per formula unit

---

Entry b
# KRbCl

A relaxed KRbCl crystal (PBE, the Alexandria database).

Structure (extended XYZ):
```
3
Lattice="-2.045 2.045 7.977 2.045 -2.045 7.977 2.045 2.045 -7.977" Properties=species:S:1:pos:R:3 pbc="T T T"
K 0.000 0.000 0.000
Rb 0.000 0.000 12.135
Cl 0.000 0.000 6.169
```

Computed properties:
- Symmetry: No. 107
- Total magnetic moment: 0.00 μB per formula unit

---

Here is how they stack up, most stable first: entry a, entry b.

---

Entry a
# K2RbCl2

A relaxed K2RbCl2 crystal (PBE, the Alexandria database).

Structure (extended XYZ):
```
5
Lattice="-2.991 2.991 8.217 2.991 -2.991 8.217 2.991 2.991 -8.217" Properties=species:S:1:pos:R:3 pbc="T T T"
K 2.991 0.000 4.109
K 0.000 2.991 4.109
Rb 0.000 0.000 0.000
Cl 0.000 0.000 3.276
Cl 0.000 0.000 13.159
```

Computed properties:
- Symmetry: No. 139
- Total magnetic moment: 0.00 μB per formula unit

---

Entry b
# K2RbCl2

A relaxed K2RbCl2 crystal (PBE, the Alexandria database).

Structure (extended XYZ):
```
10
Lattice="9.014 0.000 0.000 0.000 9.014 0.000 0.000 0.000 4.617" Properties=species:S:1:pos:R:3 pbc="T T T"
K 1.346 3.161 0.000
K 3.161 7.668 0.000
K 5.853 1.346 0.000
K 7.668 5.853 0.000
Rb 0.000 0.000 2.308
Rb 4.507 4.507 2.308
Cl 1.404 5.911 2.308
Cl 3.103 1.404 2.308
Cl 5.911 7.610 2.308
Cl 7.610 3.103 2.308
```

Computed properties:
- Symmetry: No. 127
- Total magnetic moment: 0.00 μB per formula unit

---

Here is how they stack up, most stable first: entry a, entry b.

---

Entry a
# K3RbCl

A relaxed K3RbCl crystal (PBE, the Alexandria database).

Structure (extended XYZ):
```
5
Lattice="6.630 0.000 0.000 0.000 6.630 0.000 0.000 0.000 6.630" Properties=species:S:1:pos:R:3 pbc="T T T"
K 0.000 0.000 3.315
K 0.000 3.315 0.000
K 3.315 0.000 0.000
Rb 3.315 3.315 3.315
Cl 0.000 0.000 0.000
```

Computed properties:
- Symmetry: No. 221
- Total magnetic moment: 0.00 μB per formula unit

---

Entry b
# K3RbCl

A relaxed K3RbCl crystal (PBE, the Alexandria database).

Structure (extended XYZ):
```
5
Lattice="7.842 0.000 0.000 0.000 7.842 0.000 0.000 0.000 7.842" Properties=species:S:1:pos:R:3 pbc="T T T"
K 0.000 0.000 3.921
K 0.000 3.921 0.000
K 3.921 0.000 0.000
Rb 0.000 0.000 0.000
Cl 3.921 3.921 3.921
```

Computed properties:
- Symmetry: No. 221
- Total magnetic moment: 0.00 μB per formula unit

---

Here is how they stack up, most stable first: entry a, entry b.

---

Entry a
# KRbS2Cl

A relaxed KRbS2Cl crystal (PBE, the Alexandria database).

Structure (extended XYZ):
```
5
Lattice="6.007 0.000 0.000 0.000 6.007 0.000 0.000 0.000 5.911" Properties=species:S:1:pos:R:3 pbc="T T T"
K 0.000 0.000 0.000
Rb 3.004 3.004 2.956
S 0.000 3.004 0.000
S 3.004 0.000 0.000
Cl 0.000 0.000 2.956
```

Computed properties:
- Symmetry: No. 123
- Total magnetic moment: 3.00 μB per formula unit

---

Entry b
# KRbS2Cl

A relaxed KRbS2Cl crystal (PBE, the Alexandria database).

Structure (extended XYZ):
```
5
Lattice="6.181 0.000 0.000 0.000 6.181 0.000 0.000 0.000 6.145" Properties=species:S:1:pos:R:3 pbc="T T T"
K 0.000 0.000 0.000
Rb 3.090 3.090 3.073
S 0.000 3.090 3.073
S 3.090 0.000 3.073
Cl 3.090 3.090 0.000
```

Computed properties:
- Symmetry: No. 123
- Total magnetic moment: 3.00 μB per formula unit

---

Here is how they stack up, most stable first: entry a, entry b.

---

Entry a
# K2RbSbCl6

A relaxed K2RbSbCl6 crystal (PBE, the Alexandria database).

Structure (extended XYZ):
```
10
Lattice="0.000 5.750 5.750 5.750 0.000 5.750 5.750 5.750 0.000" Properties=species:S:1:pos:R:3 pbc="T T T"
K 2.875 2.875 2.875
K 8.626 8.626 8.626
Rb 0.000 0.000 0.000
Sb 5.750 5.750 5.750
Cl 5.750 5.750 3.093
Cl 5.750 3.093 5.750
Cl 8.407 5.750 5.750
Cl 3.093 5.750 5.750
Cl 5.750 8.407 5.750
Cl 5.750 5.750 8.407
```

Computed properties:
- Symmetry: No. 225
- Total magnetic moment: 0.00 μB per formula unit

---

Entry b
# K2RbSbCl6

A relaxed K2RbSbCl6 crystal (PBE, the Alexandria database).

Structure (extended XYZ):
```
10
Lattice="3.908 2.256 6.771 -3.908 2.256 6.771 0.000 -4.513 6.771" Properties=species:S:1:pos:R:3 pbc="T T T"
K 0.000 0.000 0.000
K 0.000 0.000 9.883
Rb 0.000 0.000 4.179
Sb 0.000 0.000 14.098
Cl -1.587 -2.501 8.749
Cl -2.073 0.041 12.440
Cl -1.372 2.625 8.749
Cl 1.001 -1.816 12.440
Cl 2.959 -0.124 8.749
Cl 1.072 1.775 12.440
```

Computed properties:
- Symmetry: No. 146
- Total magnetic moment: 0.00 μB per formula unit

---

Here is how they stack up, most stable first: entry b, entry a.

---

Entry a
# K2RbSrCl

A relaxed K2RbSrCl crystal (PBE, the Alexandria database).

Structure (extended XYZ):
```
5
Lattice="6.503 0.000 0.000 0.000 6.503 0.000 0.000 0.000 6.718" Properties=species:S:1:pos:R:3 pbc="T T T"
K 0.000 3.251 0.000
K 3.251 0.000 0.000
Rb 0.000 0.000 3.359
Sr 3.251 3.251 3.359
Cl 0.000 0.000 0.000
```

Computed properties:
- Symmetry: No. 123
- Total magnetic moment: 0.00 μB per formula unit

---

Entry b
# K2RbSrCl

A relaxed K2RbSrCl crystal (PBE, the Alexandria database).

Structure (extended XYZ):
```
5
Lattice="7.086 0.000 0.000 0.000 7.086 0.000 0.000 0.000 5.846" Properties=species:S:1:pos:R:3 pbc="T T T"
K 0.000 3.543 0.000
K 3.543 0.000 0.000
Rb 0.000 0.000 2.923
Sr 3.543 3.543 2.923
Cl 3.543 3.543 0.000
```

Computed properties:
- Symmetry: No. 123
- Total magnetic moment: 0.00 μB per formula unit

---

Here is how they stack up, most stable first: entry b, entry a.